[1]
{"formula": "SbAsSe2", "functional": "PBEsol", "state": "optimized geometry", "lattice": [[3.966, 0.000, 0.000], [0.000, 4.702, -0.181], [-1.983, -1.019, 5.519]], "species": ["Sb", "As", "Se", "Se"], "fractional_positions": [[0.809, 0.172, 0.617], [0.437, 0.604, 0.874], [0.014, 0.017, 0.029], [0.240, 0.707, 0.480]]}



[2]
{"formula": "SbAsSe", "functional": "PBEsol", "state": "optimized geometry", "lattice": [[3.877, 0.000, 0.000], [0.000, 3.877, 0.000], [-1.939, -1.939, 4.737]], "species": ["Sb", "As", "Se"], "fractional_positions": [[0.349, 0.349, 0.697], [0.957, 0.957, 0.914], [0.694, 0.694, 0.389]]}



Uncorrected energy across the listed records, respectively: -4.356 -4.313 eV/atom.
D(E_F) across the listed records, respectively: 1.16 1.17 states/eV/cell.
Formation energy (no corrections) across the listed records, respectively: -0.015 0.192 eV per atom.